## Sn2BiPt2 (PBE-GGA)

Data for Sn2BiPt2 after structural relaxation.

Lattice parameters (Å, degrees): 6.096 6.096 6.096 133.17 133.17 68.38
Atoms (fractional coordinates):
1 Sn 0.138 0.138 0.000
2 Sn 0.862 0.862 0.000
3 Bi 0.500 0.500 0.000
4 Pt 0.250 0.750 0.500
5 Pt 0.750 0.250 0.500

Total magnetic moment in μB per formula unit: 0.0
Formation energy from the elements in meV/atom: -138
Energy above the lowest structure with this stoichiometry in meV per atom: 104.7



## Sn3BiPt (PBE-GGA)

Data for Sn3BiPt after structural relaxation.

Lattice parameters (Å, degrees): 9.720 9.720 9.720 144.25 144.25 51.45
Atoms (fractional coordinates):
1 Sn 0.127 0.375 0.752
2 Sn 0.194 0.194 0.000
3 Sn 0.624 0.375 0.248
4 Sn 0.625 0.376 0.752
5 Sn 0.625 0.873 0.248
6 Sn 0.806 0.806 0.000
7 Bi 0.082 0.582 0.500
8 Bi 0.418 0.918 0.500
9 Pt 0.500 0.500 0.000
10 Pt 0.750 0.250 0.500

Total magnetic moment in μB per formula unit: 0.0
Formation energy from the elements in meV/atom: 93



## Sn3BiPt (PBE-GGA)

Data for Sn3BiPt after structural relaxation.

Lattice parameters (Å, degrees): 5.787 5.787 5.787 90.00 90.00 90.00
Atoms (fractional coordinates):
1 Sn 0.000 0.000 0.500
2 Sn 0.000 0.500 0.000
3 Sn 0.500 0.000 0.000
4 Bi 0.000 0.000 0.000
5 Pt 0.500 0.500 0.500

Total magnetic moment in μB per formula unit: 0.0
Formation energy from the elements in meV/atom: 1236



## Sn2BiPt2 (PBE-GGA)

Data for Sn2BiPt2 after structural relaxation.

Lattice parameters (Å, degrees): 8.263 8.263 3.229 90.00 90.00 90.00
Atoms (fractional coordinates):
1 Sn 0.154 0.346 0.000
2 Sn 0.346 0.846 0.000
3 Sn 0.654 0.154 0.000
4 Sn 0.846 0.654 0.000
5 Bi 0.000 0.000 0.000
6 Bi 0.500 0.500 0.000
7 Pt 0.130 0.630 0.500
8 Pt 0.370 0.130 0.500
9 Pt 0.630 0.870 0.500
10 Pt 0.870 0.370 0.500

Total magnetic moment in μB per formula unit: 0.0
Formation energy from the elements in meV/atom: -63
Energy above the lowest structure with this stoichiometry in meV per atom: 179.6



Across the entries above, V takes the values 23.7; 31.2; 38.8; 22.0 A^3/atom, respectively.